# 1
Material: KSmP2S6
Method: DFT, PBE
State: relaxed

Results
E   -5.112 eV per atom

abc: 6.556 7.434 10.016
angles: 90.00 92.63 90.00
Positions (direct):
K (0.193, 0.000, 0.000)
K (0.807, 0.500, 0.000)
Sm (0.286, 0.224, 0.497)
Sm (0.714, 0.724, 0.503)
P (0.175, 0.714, 0.330)
P (0.301, 0.489, 0.208)
P (0.699, 0.989, 0.792)
P (0.825, 0.214, 0.670)
S (0.094, 0.301, 0.751)
S (0.096, 0.290, 0.232)
S (0.136, 0.598, 0.514)
S (0.331, 0.574, 0.023)
S (0.403, 0.906, 0.333)
S (0.443, 0.920, 0.674)
S (0.557, 0.420, 0.326)
S (0.597, 0.406, 0.667)
S (0.669, 0.074, 0.977)
S (0.864, 0.098, 0.486)
S (0.904, 0.790, 0.768)
S (0.906, 0.801, 0.249)


# 2
Material: Ni3S4
Method: DFT, PBE
State: relaxed

Results
E   -5.110 eV per atom

abc: 6.681 6.681 6.681
angles: 120.34 120.06 89.65
Positions (direct):
Ni (0.000, 0.000, 0.000)
Ni (0.000, 0.000, 0.500)
Ni (0.000, 0.500, 0.000)
Ni (0.375, 0.625, 0.750)
Ni (0.500, 0.000, 0.500)
Ni (0.625, 0.375, 0.250)
S (0.225, 0.241, 0.984)
S (0.240, 0.224, 0.484)
S (0.240, 0.757, 0.016)
S (0.244, 0.759, 0.484)
S (0.756, 0.241, 0.516)
S (0.760, 0.243, 0.984)
S (0.760, 0.776, 0.516)
S (0.775, 0.759, 0.016)


# 3
Material: Bi2Pt
Method: DFT, PBE
State: relaxed

Results
E   -4.965 eV per atom

abc: 4.839 4.839 4.839
angles: 60.00 60.00 60.00
Positions (direct):
Bi (0.250, 0.250, 0.250)
Bi (0.750, 0.750, 0.750)
Pt (0.000, 0.000, 0.000)


# 4
Material: BaCdNiTe3
Method: DFT, PBE
State: relaxed

Results
E   -3.470 eV per atom

abc: 7.790 7.790 11.053
angles: 90.00 90.00 147.41
Positions (direct):
Ba (0.231, 0.769, 0.750)
Ba (0.769, 0.231, 0.250)
Cd (0.471, 0.529, 0.250)
Cd (0.529, 0.471, 0.750)
Ni (0.000, 0.000, 0.000)
Ni (0.000, 0.000, 0.500)
Te (0.085, 0.915, 0.250)
Te (0.377, 0.623, 0.031)
Te (0.377, 0.623, 0.469)
Te (0.623, 0.377, 0.531)
Te (0.623, 0.377, 0.969)
Te (0.915, 0.085, 0.750)


# 5
Material: DyHo2Mg3Al2Cd
Method: DFT, PBE
State: relaxed

Results
E   -3.286 eV per atom

abc: 4.533 7.397 7.397
angles: 120.03 90.00 90.00
Positions (direct):
Dy (0.000, 0.000, 0.000)
Ho (0.000, 0.143, 0.572)
Ho (0.000, 0.572, 0.143)
Mg (0.500, 0.326, 0.326)
Mg (0.500, 0.572, 0.818)
Mg (0.500, 0.818, 0.572)
Al (0.500, 0.238, 0.905)
Al (0.500, 0.905, 0.238)
Cd (0.000, 0.571, 0.571)


# 6
Material: SrHgSeO
Method: DFT, PBE
State: relaxed

Results
E   -3.947 eV per atom

abc: 6.253 4.169 14.953
angles: 90.00 90.00 90.00
Positions (direct):
Sr (0.245, 0.250, 0.102)
Sr (0.255, 0.750, 0.602)
Sr (0.745, 0.250, 0.398)
Sr (0.755, 0.750, 0.898)
Hg (0.201, 0.250, 0.819)
Hg (0.299, 0.750, 0.319)
Hg (0.701, 0.250, 0.681)
Hg (0.799, 0.750, 0.181)
Se (0.243, 0.250, 0.430)
Se (0.257, 0.750, 0.930)
Se (0.743, 0.250, 0.070)
Se (0.757, 0.750, 0.570)
O (0.201, 0.750, 0.180)
O (0.299, 0.250, 0.680)
O (0.701, 0.750, 0.320)
O (0.799, 0.250, 0.820)


# 7
Material: ZrTlCuPd
Method: DFT, PBE
State: relaxed

Results
E   -5.224 eV per atom

abc: 4.664 4.664 4.664
angles: 60.00 60.00 60.00
Positions (direct):
Zr (0.000, 0.000, 0.000)
Tl (0.500, 0.500, 0.500)
Cu (0.750, 0.750, 0.750)
Pd (0.250, 0.250, 0.250)


# 8
Material: SmEr2
Method: DFT, PBE
State: relaxed

Results
Formation energy from the elements   0.289 eV per atom

abc: 6.552 6.552 6.552
angles: 60.00 60.00 60.00
Positions (direct):
Sm (0.125, 0.125, 0.125)
Sm (0.875, 0.875, 0.875)
Er (0.000, 0.500, 0.500)
Er (0.500, 0.000, 0.500)
Er (0.500, 0.500, 0.000)
Er (0.500, 0.500, 0.500)


# 9
Material: Sc2AgH2
Method: DFT, PBE
State: relaxed

Results
E   -4.976 eV per atom

abc: 6.211 6.211 6.211
angles: 148.26 148.26 45.51
Positions (direct):
Sc (0.152, 0.152, 0.000)
Sc (0.848, 0.848, 0.000)
Ag (0.500, 0.500, 0.000)
H (0.250, 0.750, 0.500)
H (0.750, 0.250, 0.500)


# 10
Material: Tl2Si3Hg2
Method: DFT, PBE
State: relaxed

Results
E   -2.578 eV per atom

abc: 8.734 8.734 8.734
angles: 32.52 32.52 32.52
Positions (direct):
Tl (0.000, 0.000, 0.000)
Tl (0.472, 0.472, 0.472)
Si (0.364, 0.364, 0.364)
Si (0.580, 0.580, 0.580)
Si (0.880, 0.880, 0.880)
Hg (0.240, 0.240, 0.240)
Hg (0.742, 0.742, 0.742)


# 11
Material: TbNbBr2O2
Method: DFT, PBE
State: relaxed

Results
E   -6.698 eV per atom

abc: 3.758 3.758 8.338
angles: 90.00 90.00 90.00
Positions (direct):
Tb (0.000, 0.000, 0.000)
Nb (0.500, 0.500, 0.271)
Br (0.000, 0.000, 0.461)
Br (0.500, 0.500, 0.806)
O (0.000, 0.500, 0.145)
O (0.500, 0.000, 0.145)


# 12
Material: YGeIr
Method: DFT, PBE
State: relaxed

Results
E   -6.512 eV per atom

abc: 4.620 4.620 4.620
angles: 60.00 60.00 60.00
Positions (direct):
Y (0.000, 0.000, 0.000)
Ge (0.750, 0.750, 0.750)
Ir (0.250, 0.250, 0.250)